i:
## AlCrW (SCAN)

Data for a PBEsol-optimized structure of AlCrW.

Unit cell a=4.8853 b=4.8853 c=4.8853 alpha=143.23 beta=143.23 gamma=52.99
Closest atoms and distances in Å follow each position.
Fractional positions:
Al1 0.0000 0.0000 0.0000  5 Cr 2.65-2.87, 5 W 2.72-2.74
Cr1 0.6724 0.6724 0.0000  4 W 2.50, 4 Al 2.65
W1 0.3134 0.3134 0.0000  4 Cr 2.50, 5 Al 2.72-2.74

- Density of states at the Fermi level: 2.0 states/eV/f.u.
- SG: I4mm (107)


ii:
## AlCrW (SCAN)

Data for a PBEsol-optimized structure of AlCrW.

Unit cell a=4.2400 b=4.2400 c=2.6469 alpha=90.00 beta=90.00 gamma=120.00
Closest atoms and distances in Å follow each position.
Fractional positions:
Al1 0.0000 0.0000 0.0000  3 Cr 2.60, 2 Al 2.65, 6 W 2.69-2.89
Cr1 0.3333 0.6667 0.6704  3 W 2.54, 3 Al 2.60, 2 Cr 2.65
W1 0.6667 0.3333 0.4184  3 Cr 2.54, 2 W 2.65, 3 Al 2.69

- Density of states at the Fermi level: 1.6 states/eV/f.u.
- SG: P3m1 (156)


What should be chosen as the least stable of them? Choose i.


i:
## CsAlPS2 (SCAN)

Data for a PBEsol-optimized structure of CsAlPS2.

Unit cell a=5.4836 b=5.4836 c=5.6117 alpha=90.00 beta=90.00 gamma=90.00
Closest atoms and distances in Å follow each position.
Fractional positions:
Cs1 0.0000 0.0000 0.0000  4 S 2.74, 2 P 2.81
Al1 0.5000 0.5000 0.5000  4 P 3.88, 8 S 3.92
P1 0.0000 0.0000 0.5000  2 Cs 2.81
S1 0.0000 0.5000 0.0000  2 Cs 2.74
S2 0.5000 0.0000 0.0000  2 Cs 2.74

- Density of states at the Fermi level: 3.7 states/eV/f.u.
- SG: P4/mmm (123)


ii:
## CsAlPS2 (SCAN)

Data for a PBEsol-optimized structure of CsAlPS2.

Unit cell a=4.8549 b=4.8549 c=4.7470 alpha=90.00 beta=90.00 gamma=90.00
Closest atoms and distances in Å follow each position.
Fractional positions:
Cs1 0.0000 0.0000 0.0000  8 S 3.40, 4 P 3.43
Al1 0.5000 0.5000 0.5000  2 P 2.37, 4 S 2.43
P1 0.5000 0.5000 0.0000  2 Al 2.37
S1 0.0000 0.5000 0.5000  2 Al 2.43
S2 0.5000 0.0000 0.5000  2 Al 2.43

- Density of states at the Fermi level: 3.5 states/eV/f.u.
- SG: P4/mmm (123)


What should be chosen as the least stable of them? Choose i.


i:
## Cs2AlPt (SCAN)

Data for a PBEsol-optimized structure of Cs2AlPt.

Unit cell a=5.6755 b=5.6755 c=5.6755 alpha=60.00 beta=60.00 gamma=60.00
Closest atoms and distances in Å follow each position.
Fractional positions:
Cs1 0.2500 0.2500 0.2500  4 Al 3.48, 4 Pt 3.48
Cs2 0.7500 0.7500 0.7500  4 Al 3.48, 4 Pt 3.48
Al1 0.0000 0.0000 0.0000  8 Cs 3.48
Pt1 0.5000 0.5000 0.5000  8 Cs 3.48

- Density of states at the Fermi level: 2.3 states/eV/f.u.
- SG: Fm-3m (225)


ii:
## Cs2AlPt (SCAN)

Data for a PBEsol-optimized structure of Cs2AlPt.

Unit cell a=9.2702 b=9.2702 c=9.2702 alpha=93.82 beta=93.82 gamma=150.07
Closest atoms and distances in Å follow each position.
Fractional positions:
Cs1 0.3750 0.2016 0.3266  2 Pt 3.37, 2 Al 3.77
Cs2 0.7984 0.1250 0.1734  2 Pt 3.37, 2 Al 3.77
Cs3 0.8750 0.0484 0.6734  2 Pt 3.37, 2 Al 3.77
Cs4 0.9516 0.6250 0.8266  2 Pt 3.37, 2 Al 3.77
Al1 0.2500 0.7500 0.5000  2 Pt 2.39
Al2 0.5000 0.5000 0.0000  2 Pt 2.39
Pt1 0.0000 0.0000 0.0000  2 Al 2.39
Pt2 0.7500 0.2500 0.5000  2 Al 2.39

- Density of states at the Fermi level: 2.0 states/eV/f.u.
- SG: I-42d (122)


What should be chosen as the least stable of them? Choose i.


i:
## AlCuF2 (SCAN)

Data for a PBEsol-optimized structure of AlCuF2.

Unit cell a=4.0821 b=4.0821 c=4.0821 alpha=60.00 beta=60.00 gamma=60.00
Closest atoms and distances in Å follow each position.
Fractional positions:
Al1 0.0000 0.0000 0.0000  8 F 2.50
Cu1 0.5000 0.5000 0.5000  8 F 2.50
F1 0.2500 0.2500 0.2500  4 Cu 2.50, 4 Al 2.50
F2 0.7500 0.7500 0.7500  4 Cu 2.50, 4 Al 2.50

- Density of states at the Fermi level: 0.2 states/eV/f.u.
- SG: Fm-3m (225)


ii:
## AlCuF2 (SCAN)

Data for a PBEsol-optimized structure of AlCuF2.

Unit cell a=7.0568 b=7.0568 c=7.0568 alpha=22.72 beta=22.72 gamma=22.72
Closest atoms and distances in Å follow each position.
Fractional positions:
Al1 0.0000 0.0000 0.0000  2 F 1.87
Cu1 0.5000 0.5000 0.5000  6 F 2.24
F1 0.0908 0.0908 0.0908  1 Al 1.87
F2 0.9092 0.9092 0.9092  1 Al 1.87

- Density of states at the Fermi level: 0.1 states/eV/f.u.
- SG: R-3m (166)


What should be chosen as the least stable of them? Choose i.


i:
## Al2GaCu2 (SCAN)

Data for a PBEsol-optimized structure of Al2GaCu2.

Unit cell a=6.1543 b=6.1543 c=6.1543 alpha=144.65 beta=144.65 gamma=50.85
Closest atoms and distances in Å follow each position.
Fractional positions:
Al1 0.2500 0.7500 0.5000  4 Cu 2.47, 4 Al 2.64
Al2 0.7500 0.2500 0.5000  4 Cu 2.47, 4 Al 2.64
Ga1 0.0000 0.0000 0.0000  8 Cu 2.89
Cu1 0.3948 0.3948 0.0000  1 Cu 2.34, 4 Al 2.47
Cu2 0.6052 0.6052 0.0000  1 Cu 2.34, 4 Al 2.47

- Density of states at the Fermi level: 1.8 states/eV/f.u.
- SG: I4/mmm (139)


ii:
## Al2GaCu2 (SCAN)

Data for a PBEsol-optimized structure of Al2GaCu2.

Unit cell a=7.2852 b=7.2852 c=2.6816 alpha=90.00 beta=90.00 gamma=90.00
Closest atoms and distances in Å follow each position.
Fractional positions:
Al1 0.1739 0.3261 0.0000  6 Cu 2.49-2.57, 2 Al 2.68
Al2 0.3261 0.8261 0.0000  6 Cu 2.49-2.57, 2 Al 2.68
Al3 0.6739 0.1739 0.0000  6 Cu 2.49-2.57, 2 Al 2.68
Al4 0.8261 0.6739 0.0000  6 Cu 2.49-2.57, 2 Al 2.68
Ga1 0.0000 0.0000 0.5000  2 Ga 2.68, 4 Cu 2.89
Ga2 0.5000 0.5000 0.5000  2 Ga 2.68, 4 Cu 2.89
Cu1 0.1225 0.6225 0.5000  6 Al 2.49-2.57, 3 Cu 2.52-2.68
Cu2 0.3775 0.1225 0.5000  6 Al 2.49-2.57, 3 Cu 2.52-2.68
Cu3 0.6225 0.8775 0.5000  6 Al 2.49-2.57, 3 Cu 2.52-2.68
Cu4 0.8775 0.3775 0.5000  6 Al 2.49-2.57, 3 Cu 2.52-2.68

- Density of states at the Fermi level: 1.4 states/eV/f.u.
- SG: P4/mbm (127)


What should be chosen as the least stable of them? Choose i.


i:
## AlCuSb2I (SCAN)

Data for a PBEsol-optimized structure of AlCuSb2I.

Unit cell a=5.2141 b=5.2141 c=5.3462 alpha=90.00 beta=90.00 gamma=90.00
Closest atoms and distances in Å follow each position.
Fractional positions:
Al1 0.0000 0.0000 0.0000  4 Sb 2.61, 2 I 2.67
Cu1 0.5000 0.5000 0.5000  4 I 3.69, 8 Sb 3.73
Sb1 0.0000 0.5000 0.0000  2 Al 2.61
Sb2 0.5000 0.0000 0.0000  2 Al 2.61
I1 0.0000 0.0000 0.5000  2 Al 2.67

- Density of states at the Fermi level: 4.2 states/eV/f.u.
- SG: P4/mmm (123)


ii:
## AlCuSb2I (SCAN)

Data for a PBEsol-optimized structure of AlCuSb2I.

Unit cell a=5.0041 b=5.0041 c=5.3709 alpha=90.00 beta=90.00 gamma=90.00
Closest atoms and distances in Å follow each position.
Fractional positions:
Al1 0.0000 0.0000 0.0000  4 I 3.54, 8 Sb 3.67
Cu1 0.5000 0.5000 0.5000  4 Sb 2.50, 2 I 2.69
Sb1 0.0000 0.5000 0.5000  2 Cu 2.50
Sb2 0.5000 0.0000 0.5000  2 Cu 2.50
I1 0.5000 0.5000 0.0000  2 Cu 2.69

- Density of states at the Fermi level: 4.5 states/eV/f.u.
- SG: P4/mmm (123)


What should be chosen as the least stable of them? Choose i.


i:
## AlCu3Mo (SCAN)

Data for a PBEsol-optimized structure of AlCu3Mo.

Unit cell a=4.5931 b=4.5931 c=4.5931 alpha=90.00 beta=90.00 gamma=90.00
Closest atoms and distances in Å follow each position.
Fractional positions:
Al1 0.0000 0.0000 0.0000  12 Cu 3.25
Cu1 0.0000 0.5000 0.5000  2 Mo 2.30
Cu2 0.5000 0.0000 0.5000  2 Mo 2.30
Cu3 0.5000 0.5000 0.0000  2 Mo 2.30
Mo1 0.5000 0.5000 0.5000  6 Cu 2.30

- Density of states at the Fermi level: 6.3 states/eV/f.u.
- SG: Pm-3m (221)


ii:
## AlCu3Mo (SCAN)

Data for a PBEsol-optimized structure of AlCu3Mo.

Unit cell a=4.2087 b=4.2087 c=4.2087 alpha=90.00 beta=90.00 gamma=90.00
Closest atoms and distances in Å follow each position.
Fractional positions:
Al1 0.0000 0.0000 0.0000  6 Cu 2.10
Cu1 0.0000 0.0000 0.5000  2 Al 2.10
Cu2 0.0000 0.5000 0.0000  2 Al 2.10
Cu3 0.5000 0.0000 0.0000  2 Al 2.10
Mo1 0.5000 0.5000 0.5000  12 Cu 2.98

- Density of states at the Fermi level: 2.0 states/eV/f.u.
- SG: Pm-3m (221)


What should be chosen as the least stable of them? Choose i.


i:
## Al2CuNi5 (SCAN)

Data for a PBEsol-optimized structure of Al2CuNi5.

Unit cell a=4.9693 b=9.9336 c=3.5599 alpha=90.00 beta=90.00 gamma=90.00
Closest atoms and distances in Å follow each position.
Fractional positions:
Al1 0.2347 0.1287 0.0000  10 Ni 2.46-2.51, 2 Cu 2.56
Al2 0.2653 0.6287 0.0000  10 Ni 2.46-2.51, 2 Cu 2.56
Al3 0.7347 0.3713 0.0000  10 Ni 2.46-2.51, 2 Cu 2.56
Al4 0.7653 0.8713 0.0000  10 Ni 2.46-2.51, 2 Cu 2.56
Cu1 0.0000 0.5000 0.5000  8 Ni 2.47-2.48, 4 Al 2.56
Cu2 0.5000 0.0000 0.5000  8 Ni 2.47-2.48, 4 Al 2.56
Ni1 0.0000 0.0000 0.5000  4 Al 2.48, 2 Cu 2.48, 6 Ni 2.48-2.52
Ni2 0.0158 0.7500 0.5000  4 Al 2.48, 1 Cu 2.48, 7 Ni 2.48-2.52
Ni3 0.2394 0.3766 0.0000  4 Al 2.46-2.51, 2 Cu 2.47, 6 Ni 2.50-2.52
Ni4 0.2606 0.8766 0.0000  4 Al 2.46-2.51, 2 Cu 2.47, 6 Ni 2.50-2.52
Ni5 0.4842 0.2500 0.5000  4 Al 2.48, 1 Cu 2.48, 7 Ni 2.48-2.52
Ni6 0.5000 0.5000 0.5000  4 Al 2.48, 2 Cu 2.48, 6 Ni 2.48-2.52
Ni7 0.5158 0.7500 0.5000  4 Al 2.48, 1 Cu 2.48, 7 Ni 2.48-2.52
Ni8 0.7394 0.1234 0.0000  4 Al 2.46-2.51, 2 Cu 2.47, 6 Ni 2.50-2.52
Ni9 0.7606 0.6234 0.0000  4 Al 2.46-2.51, 2 Cu 2.47, 6 Ni 2.50-2.52
Ni10 0.9842 0.2500 0.5000  4 Al 2.48, 1 Cu 2.48, 7 Ni 2.48-2.52

- Density of states at the Fermi level: 7.5 states/eV/f.u.
- SG: Pbam (55)


ii:
## Al2CuNi5 (SCAN)

Data for a PBEsol-optimized structure of Al2CuNi5.

Unit cell a=6.0446 b=6.0446 c=6.0446 alpha=140.50 beta=140.50 gamma=57.10
Closest atoms and distances in Å follow each position.
Fractional positions:
Al1 0.2488 0.2488 0.0000  9 Ni 2.44-2.64, 1 Cu 2.67
Al2 0.7512 0.7512 0.0000  9 Ni 2.44-2.64, 1 Cu 2.67
Cu1 0.5000 0.5000 0.0000  8 Ni 2.43, 2 Al 2.67
Ni1 0.0000 0.0000 0.0000  8 Ni 2.43, 2 Al 2.64
Ni2 0.1234 0.6234 0.5000  4 Ni 2.43-2.69, 2 Cu 2.43, 4 Al 2.44-2.45
Ni3 0.3766 0.8766 0.5000  2 Cu 2.43, 4 Ni 2.43-2.69, 4 Al 2.44-2.45
Ni4 0.6234 0.1234 0.5000  4 Ni 2.43-2.69, 2 Cu 2.43, 4 Al 2.44-2.45
Ni5 0.8766 0.3766 0.5000  2 Cu 2.43, 4 Ni 2.43-2.69, 4 Al 2.44-2.45

- Density of states at the Fermi level: 4.7 states/eV/f.u.
- SG: I4/mmm (139)


What should be chosen as the least stable of them? Choose ii.